Record 1
Here is PmC2 after structural relaxation from Alexandria. Energies are from GGA-PBE.

Results
**E above lowest polymorph**: 9 meV per atom
**Symmetry**: C2/m (12)
**DOS(E_F)**: 1.06 states/eV per cell
**Formation enthalpy at 0 K**: -0.14 eV per atom
**Calculated volume**: 46.4 Å³ per cell

Unit cell a=3.8026 b=3.8026 c=4.1459 alpha=116.59 beta=116.59 gamma=89.95
Positions (direct):
Pm: 0.0000 0.0000 0.0000
C: 0.3977 0.3977 0.7979
C: 0.6023 0.6023 0.2021

Record 2
Here is Ta3TlSe after structural relaxation from Alexandria. Energies are from GGA-PBE.

Results
**E above lowest polymorph**: 1471 meV per atom
**Symmetry**: Pm-3m (221)
**DOS(E_F)**: 11.10 states/eV per cell
**Calculated volume**: 133.1 Å³ per cell
**Formation energy without anion corrections**: 2.448 eV/atom

Unit cell a=5.1058 b=5.1058 c=5.1058 alpha=90.00 beta=90.00 gamma=90.00
Positions (direct):
Ta: 0.0000 0.0000 0.5000
Ta: 0.0000 0.5000 0.0000
Ta: 0.5000 0.0000 0.0000
Tl: 0.0000 0.0000 0.0000
Se: 0.5000 0.5000 0.5000

Record 3
Here is Rb3BeCl6 after structural relaxation from Alexandria. Energies are from GGA-PBE.

Results
**Symmetry**: Fm-3m (225)
**DOS(E_F)**: 8.46 states/eV per cell
**Calculated volume**: 311.7 Å³ per cell
**Formation energy without anion corrections**: -1.397 eV/atom

Unit cell a=7.6103 b=7.6103 c=7.6103 alpha=60.00 beta=60.00 gamma=60.00
Positions (direct):
Rb: 0.0000 0.0000 0.0000
Rb: 0.2500 0.2500 0.2500
Rb: 0.7500 0.7500 0.7500
Be: 0.5000 0.5000 0.5000
Cl: 0.2890 0.2890 0.7110
Cl: 0.2890 0.7110 0.2890
Cl: 0.2890 0.7110 0.7110
Cl: 0.7110 0.2890 0.2890
Cl: 0.7110 0.2890 0.7110
Cl: 0.7110 0.7110 0.2890